Run w
VASP calculation (GGA-PBE) on an optimized crystal structure of LaPa2.

Cell: 3.291 3.291 7.867 Å, 102.07 102.07 90.00°
Element x y z (fractional)
1 Pa 0.672 0.672 0.344
2 Pa 0.328 0.328 0.656
3 La 0.000 0.000 0.000

Properties
The calculation puts the calculated volume at 27.13 Å³/atom. The value obtained for the total magnetization is 0.0 Bohr magnetons per cell.

Run x
VASP calculation (GGA-PBE) on an optimized crystal structure of LaPa2.

Cell: 6.183 6.183 6.183 Å, 60.00 60.00 60.00°
Element x y z (fractional)
1 Pa 0.125 0.625 0.625
2 Pa 0.625 0.125 0.625
3 Pa 0.625 0.625 0.625
4 Pa 0.625 0.625 0.125
5 La 0.000 0.000 0.000
6 La 0.250 0.250 0.250

Properties
The calculation puts the calculated volume at 27.86 Å³/atom. The value obtained for the total magnetization is 0.0 Bohr magnetons per cell.

Most stable one: run w, least stable one: run x.

Run w
VASP calculation (GGA-PBE) on an optimized crystal structure of La3Pa.

Cell: 3.461 5.772 6.405 Å, 90.00 90.00 90.00°
Element x y z (fractional)
1 Pa 0.000 0.000 0.038
2 La 0.000 0.500 0.270
3 La 0.500 0.000 0.547
4 La 0.500 0.500 0.812

Properties
The calculation puts the calculated volume at 31.99 Å³/atom. The value obtained for the total magnetization is 0.0 Bohr magnetons per cell.

Run x
VASP calculation (GGA-PBE) on an optimized crystal structure of La3Pa.

Cell: 4.991 4.991 6.168 Å, 113.87 113.87 90.00°
Element x y z (fractional)
1 Pa 0.000 0.000 0.000
2 La 0.750 0.250 0.500
3 La 0.250 0.750 0.500
4 La 0.500 0.500 0.000

Properties
The calculation puts the calculated volume at 31.50 Å³/atom. The value obtained for the total magnetization is 0.0 Bohr magnetons per cell.

Most stable one: run w, least stable one: run x.

Run w
VASP calculation (GGA-PBE) on an optimized crystal structure of La3Pa.

Cell: 5.011 5.011 5.011 Å, 90.00 90.00 90.00°
Element x y z (fractional)
1 Pa 0.000 0.000 0.000
2 La 0.000 0.500 0.500
3 La 0.500 0.000 0.500
4 La 0.500 0.500 0.000

Properties
The calculation puts the calculated volume at 31.45 Å³/atom. The value obtained for the total magnetization is 0.0 Bohr magnetons per cell.

Run x
VASP calculation (GGA-PBE) on an optimized crystal structure of La3Pa.

Cell: 3.475 6.177 6.984 Å, 116.24 104.41 90.00°
Element x y z (fractional)
1 Pa 0.000 0.986 0.000
2 La 0.275 0.642 0.550
3 La 0.500 0.447 0.000
4 La 0.725 0.092 0.450

Properties
The calculation puts the calculated volume at 32.30 Å³/atom. The value obtained for the total magnetization is 0.0 Bohr magnetons per cell.

Most stable one: run x, least stable one: run w.

Run w
VASP calculation (GGA-PBE) on an optimized crystal structure of LaPaPb2.

Cell: 3.549 3.549 9.247 Å, 90.00 90.00 90.00°
Last column: magnetic moment on the atom in μB.
Element x y z (fractional)
1 Pb 0.000 0.000 0.758  -0.01
2 Pb 0.000 0.000 0.242  -0.01
3 Pa 0.500 0.500 0.000  0.74
4 La 0.500 0.500 0.500  -0.03

Properties
The calculation puts the calculated volume at 29.11 Å³/atom. The value obtained for the total magnetization is 0.8 Bohr magnetons per cell.

Run x
VASP calculation (GGA-PBE) on an optimized crystal structure of LaPaPb2.

Cell: 4.516 5.098 5.098 Å, 90.00 90.00 90.00°
Last column: magnetic moment on the atom in μB.
Element x y z (fractional)
1 Pb 0.000 0.000 0.500  -0.01
2 Pb 0.000 0.500 0.000  -0.01
3 Pa 0.500 0.000 0.000  0.95
4 La 0.500 0.500 0.500  0.13

Properties
The calculation puts the calculated volume at 29.34 Å³/atom. The value obtained for the total magnetization is 1.3 Bohr magnetons per cell.

Most stable one: run w, least stable one: run x.

Run w
VASP calculation (GGA-PBE) on an optimized crystal structure of La2PaPb.

Cell: 4.795 5.002 5.002 Å, 90.00 90.00 90.00°
Element x y z (fractional)
1 Pb 0.500 0.000 0.000
2 Pa 0.500 0.500 0.500
3 La 0.000 0.000 0.500
4 La 0.000 0.500 0.000

Properties
The calculation puts the calculated volume at 29.99 Å³/atom. The value obtained for the total magnetization is 0.0 Bohr magnetons per cell.

Run x
VASP calculation (GGA-PBE) on an optimized crystal structure of La2PaPb.

Cell: 3.446 3.446 10.144 Å, 90.00 90.00 90.00°
Element x y z (fractional)
1 Pb 0.500 0.500 0.500
2 Pa 0.500 0.500 0.000
3 La 0.000 0.000 0.756
4 La 0.000 0.000 0.244

Properties
The calculation puts the calculated volume at 30.12 Å³/atom. The value obtained for the total magnetization is 0.0 Bohr magnetons per cell.

Most stable one: run x, least stable one: run w.

Run w
VASP calculation (GGA-PBE) on an optimized crystal structure of LaPm2Pa.

Cell: 3.401 3.401 12.743 Å, 82.33 82.33 60.00°
Element x y z (fractional)
1 Pa 0.000 0.000 0.000
2 La 0.500 0.500 0.500
3 Pm 0.086 0.086 0.743
4 Pm 0.914 0.914 0.257

Properties
The calculation puts the calculated volume at 31.52 Å³/atom. The value obtained for the total magnetization is 0.0 Bohr magnetons per cell.

Run x
VASP calculation (GGA-PBE) on an optimized crystal structure of LaPm2Pa.

Cell: 5.069 4.998 4.998 Å, 90.00 90.00 90.00°
Element x y z (fractional)
1 Pa 0.500 0.500 0.500
2 La 0.500 0.000 0.000
3 Pm 0.000 0.000 0.500
4 Pm 0.000 0.500 0.000

Properties
The calculation puts the calculated volume at 31.66 Å³/atom. The value obtained for the total magnetization is 0.0 Bohr magnetons per cell.

Most stable one: run x, least stable one: run w.

Run w
VASP calculation (GGA-PBE) on an optimized crystal structure of LaPmPa.

Cell: 3.481 3.481 8.832 Å, 90.00 90.00 120.00°
Element x y z (fractional)
1 Pa 0.000 0.000 0.000
2 La 0.333 0.667 0.688
3 Pm 0.667 0.333 0.312

Properties
The calculation puts the calculated volume at 30.89 Å³/atom. The value obtained for the total magnetization is 0.0 Bohr magnetons per cell.

Run x
VASP calculation (GGA-PBE) on an optimized crystal structure of LaPmPa.

Cell: 3.407 3.407 8.392 Å, 101.71 101.71 90.00°
Element x y z (fractional)
1 Pa 0.333 0.333 0.667
2 La 0.984 0.984 0.968
3 Pm 0.683 0.683 0.365

Properties
The calculation puts the calculated volume at 31.09 Å³/atom. The value obtained for the total magnetization is 0.0 Bohr magnetons per cell.

Most stable one: run x, least stable one: run w.

Run w
VASP calculation (GGA-PBE) on an optimized crystal structure of LaPr2Pa.

Cell: 5.110 5.028 5.028 Å, 90.00 90.00 90.00°
Element x y z (fractional)
1 Pr 0.000 0.000 0.500
2 Pr 0.000 0.500 0.000
3 Pa 0.500 0.500 0.500
4 La 0.500 0.000 0.000

Properties
The calculation puts the calculated volume at 32.29 Å³/atom. The value obtained for the total magnetization is 0.0 Bohr magnetons per cell.

Run x
VASP calculation (GGA-PBE) on an optimized crystal structure of LaPr2Pa.

Cell: 3.427 3.427 12.867 Å, 82.35 82.35 60.00°
Element x y z (fractional)
1 Pr 0.085 0.085 0.745
2 Pr 0.915 0.915 0.255
3 Pa 0.000 0.000 0.000
4 La 0.500 0.500 0.500

Properties
The calculation puts the calculated volume at 32.33 Å³/atom. The value obtained for the total magnetization is 0.0 Bohr magnetons per cell.

Run y
VASP calculation (GGA-PBE) on an optimized crystal structure of LaPr2Pa.

Cell: 3.480 3.480 10.861 Å, 90.00 90.00 90.00°
Element x y z (fractional)
1 Pr 0.000 0.000 0.723
2 Pr 0.000 0.000 0.277
3 Pa 0.500 0.500 0.500
4 La 0.500 0.500 0.000

Properties
The calculation puts the calculated volume at 32.89 Å³/atom. The value obtained for the total magnetization is 0.0 Bohr magnetons per cell.

Most stable one: run y, least stable one: run x.